[1]
Here is SrLi2 at its PBEsol-relaxed geometry from Alexandria via LeMat-Bulk. Energies are from SCAN.

```
SrLi2
1.0
2.0789 -8.0593 0.0000
2.0789 8.0593 0.0000
0.0000 0.0000 5.6335
Sr Li
2 4
Cartesian
2.0789 6.6534 4.2251
2.0789 -6.6534 1.4084
2.0789 4.2842 1.4084
2.0789 1.6360 4.2251
2.0789 -1.6360 1.4084
2.0789 -4.2842 4.2251
```

Computed properties:
The calculation puts the theoretical density at 1.79 g cm⁻³. Its energy of formation from the pure elements is 0.044 eV per atom. Its total energy is -53.8 eV for the cell shown.

[2]
Here is SrLi2 at its PBEsol-relaxed geometry from Alexandria via LeMat-Bulk. Energies are from SCAN.

```
SrLi2
1.0
5.1918 0.0000 0.0000
-2.5959 4.4962 0.0000
0.0000 0.0000 4.1738
Sr Li
1 2
Cartesian
0.0000 0.0000 0.0000
0.0000 2.9975 2.0869
2.5959 1.4987 2.0869
```

Computed properties:
The calculation puts the theoretical density at 1.73 g cm⁻³. Its energy of formation from the pure elements is 0.055 eV per atom. Its total energy is -26.9 eV for the cell shown.

[3]
Here is Sr4Li5 at its PBEsol-relaxed geometry from Alexandria via LeMat-Bulk. Energies are from SCAN.

```
Sr4Li5
1.0
10.2490 0.0000 0.0000
-5.1245 8.8759 0.0000
0.0000 0.0000 7.1456
Sr Li
8 10
Cartesian
0.0000 0.0000 0.0000
0.0000 0.0000 3.5728
-1.8436 3.1933 1.7864
-3.2809 5.6826 5.3592
3.6873 0.0000 1.7864
1.8436 3.1933 5.3592
6.5617 0.0000 5.3592
3.2809 5.6826 1.7864
-1.6060 2.7817 5.3592
-3.5185 6.0941 1.7864
3.2121 0.0000 5.3592
1.6060 2.7817 1.7864
0.0000 5.9173 0.0000
0.0000 5.9173 3.5728
5.1245 2.9586 0.0000
5.1245 2.9586 3.5728
7.0369 0.0000 1.7864
3.5185 6.0941 5.3592
```

Computed properties:
The calculation puts the theoretical density at 1.97 g cm⁻³. Its energy of formation from the pure elements is 0.077 eV per atom. As for the offset from the most stable computed form: 13 meV per atom. Its total energy is -200.7 eV for the cell shown.

[4]
Here is SrLi2 at its PBEsol-relaxed geometry from Alexandria via LeMat-Bulk. Energies are from SCAN.

```
SrLi2
1.0
6.8533 0.0000 0.0000
0.0000 5.7465 0.0000
0.0000 0.0000 9.8176
Sr Li
4 8
Cartesian
1.1716 1.4366 0.9607
2.2551 4.3099 5.8695
4.5982 1.4366 3.9481
5.6818 4.3099 8.8569
0.0366 4.3099 2.7176
1.0737 1.4366 4.3954
2.3530 4.3099 9.3042
3.3901 1.4366 7.6264
3.4632 4.3099 2.1912
4.5004 1.4366 0.5134
5.7797 4.3099 5.4222
6.8168 1.4366 7.1000
```

Computed properties:
The calculation puts the theoretical density at 1.74 g cm⁻³. Its energy of formation from the pure elements is 0.060 eV per atom. Its total energy is -107.5 eV for the cell shown.

[5]
Here is SrLi2 at its PBEsol-relaxed geometry from Alexandria via LeMat-Bulk. Energies are from SCAN.

```
SrLi2
1.0
6.2319 -1.9799 0.0000
6.2319 1.9799 0.0000
-2.8298 0.0000 7.5818
Sr Li
2 4
Cartesian
1.6452 0.0000 0.9613
7.9888 0.0000 6.6206
0.2621 0.0000 4.0948
5.0722 0.0000 2.1902
4.5618 0.0000 5.3917
9.3720 0.0000 3.4870
```

Computed properties:
The calculation puts the theoretical density at 1.80 g cm⁻³. Its energy of formation from the pure elements is 0.051 eV per atom. Its total energy is -53.8 eV for the cell shown.

[6]
Here is Sr3Li4 at its PBEsol-relaxed geometry from Alexandria via LeMat-Bulk. Energies are from SCAN.

```
Sr3Li4
1.0
-1.9976 1.9976 14.8555
1.9976 -1.9976 14.8555
1.9976 1.9976 -14.8555
Sr Li
3 4
Cartesian
0.0000 0.0000 0.0000
0.0000 0.0000 8.9962
0.0000 0.0000 20.7148
0.0000 0.0000 3.5358
0.0000 0.0000 12.5454
0.0000 0.0000 17.1655
0.0000 0.0000 26.1751
```

Computed properties:
The calculation puts the theoretical density at 2.04 g cm⁻³. Its energy of formation from the pure elements is 0.023 eV per atom. Its total energy is -76.2 eV for the cell shown.

Which of these has the highest energy of formation from the pure elements? Sr4Li5